--- 1 ---
# BeAlTl2

A relaxed structure of BeAlTl2 (PBE, Alexandria).

a = 13.181 Å, b = 3.212 Å, c = 4.503 Å
α = 90.00°, β = 109.79°, γ = 90.00°
Space group Cm (No. 8)
Asymmetric unit:
Be (0.000, 0.000, 0.000) x2
Al (0.156, 0.500, 0.156) x2
Tl (0.281, 0.000, 0.783) x2
Tl (0.489, 0.000, 0.489) x2

=====

--- 2 ---
# BeAlTl2

A relaxed structure of BeAlTl2 (PBE, Alexandria).

a = 4.675 Å, b = 4.675 Å, c = 16.893 Å
α = 90.00°, β = 90.00°, γ = 90.00°
Space group I-42d (No. 122)
Asymmetric unit:
Be (0.000, 0.000, 0.000) x4
Al (0.000, 0.000, 0.500) x4
Tl (0.219, 0.250, 0.125) x8

=====

1 is the most stable structure; the next one sits 12.9 kJ/mol of atoms above it.

=====

--- 1 ---
# BeAlTl2

A relaxed structure of BeAlTl2 (PBE, Alexandria).

a = 7.165 Å, b = 7.165 Å, c = 7.165 Å
α = 90.00°, β = 90.00°, γ = 90.00°
Space group F-43m (No. 216)
Asymmetric unit:
Be (0.000, 0.000, 0.000) x4
Al (0.250, 0.250, 0.250) x4
Tl (0.000, 0.000, 0.500) x4
Tl (0.250, 0.250, 0.750) x4

=====

--- 2 ---
# BeAlTl2

A relaxed structure of BeAlTl2 (PBE, Alexandria).

a = 4.383 Å, b = 4.359 Å, c = 5.172 Å
α = 90.00°, β = 113.38°, γ = 90.00°
Space group Pm (No. 6)
Asymmetric unit:
Be (0.000, 0.000, 0.000) x1
Al (0.083, 0.500, 0.199) x1
Tl (0.392, 0.500, 0.797) x1
Tl (0.704, 0.000, 0.421) x1

=====

--- 3 ---
# BeAlTl2

A relaxed structure of BeAlTl2 (PBE, Alexandria).

a = 4.212 Å, b = 5.128 Å, c = 7.986 Å
α = 90.00°, β = 90.00°, γ = 90.00°
Space group Cmmm (No. 65)
Asymmetric unit:
Be (0.000, 0.000, 0.000) x2
Al (0.000, 0.000, 0.500) x2
Tl (0.000, 0.500, 0.219) x4

=====

--- 4 ---
# BeAlTl2

A relaxed structure of BeAlTl2 (PBE, Alexandria).

a = 4.133 Å, b = 4.133 Å, c = 10.284 Å
α = 90.00°, β = 90.00°, γ = 90.00°
Space group I-4m2 (No. 119)
Asymmetric unit:
Be (0.000, 0.000, 0.000) x2
Al (0.000, 0.500, 0.250) x2
Tl (0.000, 0.000, 0.500) x2
Tl (0.000, 0.500, 0.750) x2

=====

2 is the most stable structure; the next one sits 15.4 kJ/mol of atoms above it.

=====

--- 1 ---
# Be2AlTl

A relaxed structure of Be2AlTl (PBE, Alexandria).

a = 4.054 Å, b = 4.054 Å, c = 3.774 Å
α = 90.00°, β = 90.00°, γ = 90.00°
Space group P4/mmm (No. 123)
Asymmetric unit:
Be (0.000, 0.500, 0.000) x2
Al (0.000, 0.000, 0.500) x1
Tl (0.500, 0.500, 0.500) x1

=====

--- 2 ---
# Be2AlTl

A relaxed structure of Be2AlTl (PBE, Alexandria).

a = 3.035 Å, b = 3.035 Å, c = 7.103 Å
α = 90.00°, β = 90.00°, γ = 90.00°
Space group P4/mmm (No. 123)
Asymmetric unit:
Be (0.000, 0.000, 0.181) x2
Al (0.500, 0.500, 0.000) x1
Tl (0.500, 0.500, 0.500) x1

=====

2 is the most stable structure; the next one sits 9.7 kJ/mol of atoms above it.

=====

--- 1 ---
# Be2AlTl

A relaxed structure of Be2AlTl (PBE, Alexandria).

a = 5.430 Å, b = 7.624 Å, c = 3.017 Å
α = 90.00°, β = 90.00°, γ = 90.00°
Space group Cmmm (No. 65)
Asymmetric unit:
Be (0.250, 0.250, 0.000) x4
Al (0.000, 0.000, 0.500) x2
Tl (0.000, 0.500, 0.500) x2

=====

--- 2 ---
# Be2AlTl

A relaxed structure of Be2AlTl (PBE, Alexandria).

a = 6.335 Å, b = 6.335 Å, c = 6.335 Å
α = 90.00°, β = 90.00°, γ = 90.00°
Space group Fm-3m (No. 225)
Asymmetric unit:
Be (0.250, 0.250, 0.250) x8
Al (0.000, 0.000, 0.000) x4
Tl (0.000, 0.000, 0.500) x4

=====

--- 3 ---
# Be2AlTl

A relaxed structure of Be2AlTl (PBE, Alexandria).

a = 4.112 Å, b = 4.262 Å, c = 7.435 Å
α = 90.00°, β = 90.00°, γ = 90.00°
Space group Cmm2 (No. 35)
Asymmetric unit:
Be (0.000, 0.000, 0.000) x2
Be (0.000, 0.500, 0.126) x2
Al (0.000, 0.500, 0.791) x2
Tl (0.000, 0.000, 0.424) x2

=====

--- 4 ---
# Be2AlTl

A relaxed structure of Be2AlTl (PBE, Alexandria).

a = 6.412 Å, b = 6.412 Å, c = 6.412 Å
α = 90.00°, β = 90.00°, γ = 90.00°
Space group F-43m (No. 216)
Asymmetric unit:
Be (0.000, 0.000, 0.000) x4
Be (0.250, 0.250, 0.250) x4
Al (0.250, 0.250, 0.750) x4
Tl (0.000, 0.000, 0.500) x4

=====

3 is the most stable structure; the next one sits 16.6 kJ/mol of atoms above it.

=====

--- 1 ---
# Be2AlTl

A relaxed structure of Be2AlTl (PBE, Alexandria).

a = 3.728 Å, b = 3.833 Å, c = 4.710 Å
α = 90.00°, β = 112.21°, γ = 90.00°
Space group Pm (No. 6)
Asymmetric unit:
Be (0.000, 0.000, 0.000) x1
Be (0.125, 0.500, 0.252) x1
Al (0.432, 0.500, 0.854) x1
Tl (0.709, 0.000, 0.431) x1

=====

--- 2 ---
# Be2AlTl

A relaxed structure of Be2AlTl (PBE, Alexandria).

a = 3.7758 Å, b = 3.7758 Å, c = 5.7263 Å
α = 90.00°, β = 90.00°, γ = 120.00°
Space group P6mm (No. 183)
Asymmetric unit:
Be (0.3333, 0.6667, 0.0000) x2
Al (0.0000, 0.0000, 0.1808) x1
Tl (0.0000, 0.0000, 0.6613) x1

=====

--- 3 ---
# Be2AlTl

A relaxed structure of Be2AlTl (PBE, Alexandria).

a = 3.0565 Å, b = 3.0565 Å, c = 23.8419 Å
α = 90.00°, β = 90.00°, γ = 120.00°
Space group R-3m (No. 166, hexagonal axes)
Asymmetric unit:
Be (0.0000, 0.0000, 0.2447) x6
Al (0.0000, 0.0000, 0.5000) x3
Tl (0.0000, 0.0000, 0.0000) x3

=====

--- 4 ---
# Be2AlTl

A relaxed structure of Be2AlTl (PBE, Alexandria).

a = 2.879 Å, b = 3.705 Å, c = 5.989 Å
α = 90.00°, β = 90.00°, γ = 90.00°
Space group Pmmm (No. 47)
Asymmetric unit:
Be (0.000, 0.000, 0.179) x2
Al (0.500, 0.500, 0.000) x1
Tl (0.500, 0.500, 0.500) x1

=====

2 is the most stable structure; the next one sits 13.6 kJ/mol of atoms above it.

=====

--- 1 ---
# Be2AlTl

A relaxed structure of Be2AlTl (PBE, Alexandria).

a = 7.014 Å, b = 7.014 Å, c = 5.703 Å
α = 90.00°, β = 90.00°, γ = 90.00°
Space group I-42d (No. 122)
Asymmetric unit:
Be (0.228, 0.750, 0.125) x8
Al (0.000, 0.000, 0.000) x4
Tl (0.000, 0.000, 0.500) x4

=====

--- 2 ---
# Be2AlTl

A relaxed structure of Be2AlTl (PBE, Alexandria).

a = 5.568 Å, b = 5.940 Å, c = 7.552 Å
α = 90.00°, β = 90.00°, γ = 90.00°
Space group Fmmm (No. 69)
Asymmetric unit:
Be (0.250, 0.250, 0.250) x8
Al (0.000, 0.000, 0.000) x4
Tl (0.000, 0.000, 0.500) x4

=====

2 is the most stable structure; the next one sits 14.3 kJ/mol of atoms above it.